A relaxed structure of ReTe2W. Source: Alexandria via LeMat-Bulk, functional GGA-PBEsol.

Summary:
Total DFT energy (no corrections) = -0.59697 Ry per atom
D(E_F) = 2.60 states/eV/cell
Energy relative to the elements, uncorrected = 426 meV/atom
Density = 11.97 g/cm³
Offset from the most stable computed form = 0.0 kJ per mole of atoms

Cell and atoms, written as POSCAR:
```
ReTe2W
1.0
1.601 0.925 9.760
-1.601 0.925 9.760
0.000 -1.849 9.760
Re Te W
1 2 1
Direct
0.000 0.000 0.000
0.260 0.260 0.260
0.468 0.468 0.468
0.728 0.728 0.728
```